1.
Compound: LiHoBi
Source: Alexandria
Functional: PBE
Structure: optimized geometry

## Properties
Its total energy is -3.78 eV/atom. As for the energy of formation: -321 meV/atom. The energy above the lowest structure with this stoichiometry comes out at 271 meV per atom. As for the volume: 26.322 A^3/atom.

```
data_LiHoBi
_symmetry_space_group_name_H-M 'P 1'
_symmetry_Int_Tables_number 1
_symmetry_space_group_name_Hall 'P 1'
_cell_length_a 5.391
_cell_length_b 5.391
_cell_length_c 5.391
_cell_angle_alpha 134.30
_cell_angle_beta 134.30
_cell_angle_gamma 66.62
loop_
_atom_site_label
_atom_site_type_symbol
_atom_site_fract_x
_atom_site_fract_y
_atom_site_fract_z
Li1 Li 0.000 0.000 0.000
Ho1 Ho 0.339 0.339 0.000
Bi1 Bi 0.686 0.686 0.000
```

---

2.
Compound: BRu
Source: Alexandria
Functional: PBE
Structure: optimized geometry

## Properties
Its total energy is -8.06 eV/atom. As for the energy of formation: -83 meV/atom. As for the volume: 10.656 A^3/atom.

```
data_BRu
_symmetry_space_group_name_H-M 'P 1'
_symmetry_Int_Tables_number 1
_symmetry_space_group_name_Hall 'P 1'
_cell_length_a 4.124
_cell_length_b 5.162
_cell_length_c 8.010
_cell_angle_alpha 90.00
_cell_angle_beta 90.00
_cell_angle_gamma 90.00
loop_
_atom_site_label
_atom_site_type_symbol
_atom_site_fract_x
_atom_site_fract_y
_atom_site_fract_z
B1 B 0.126 0.035 0.279
B2 B 0.156 0.509 0.048
B3 B 0.344 0.491 0.548
B4 B 0.374 0.965 0.779
B5 B 0.626 0.465 0.721
B6 B 0.656 0.991 0.952
B7 B 0.844 0.009 0.452
B8 B 0.874 0.535 0.221
Ru1 Ru 0.128 0.353 0.788
Ru2 Ru 0.145 0.929 0.020
Ru3 Ru 0.355 0.071 0.520
Ru4 Ru 0.372 0.647 0.288
Ru5 Ru 0.628 0.147 0.212
Ru6 Ru 0.645 0.571 0.980
Ru7 Ru 0.855 0.429 0.480
Ru8 Ru 0.872 0.853 0.712
```

---

3.
Compound: PrNdErZn
Source: Alexandria
Functional: PBE
Structure: optimized geometry

## Properties
Its total energy is -4.00 eV/atom. As for the energy of formation: -154 meV/atom. The energy above the lowest structure with this stoichiometry comes out at 0 meV per atom. As for the volume: 29.074 A^3/atom.

```
data_PrNdErZn
_symmetry_space_group_name_H-M 'P 1'
_symmetry_Int_Tables_number 1
_symmetry_space_group_name_Hall 'P 1'
_cell_length_a 3.634
_cell_length_b 3.634
_cell_length_c 8.806
_cell_angle_alpha 90.00
_cell_angle_beta 90.00
_cell_angle_gamma 90.00
loop_
_atom_site_label
_atom_site_type_symbol
_atom_site_fract_x
_atom_site_fract_y
_atom_site_fract_z
Pr1 Pr 0.000 0.000 0.000
Nd1 Nd 0.500 0.500 0.694
Er1 Er 0.500 0.500 0.289
Zn1 Zn 0.000 0.000 0.473
```

---

4.
Compound: CsZrTeI2
Source: Alexandria
Functional: PBE
Structure: optimized geometry

## Properties
Its total energy is -2.31 eV/atom. The energy above the lowest structure with this stoichiometry comes out at 1753 meV per atom. As for the uncorrected formation energy: 4.1 eV per formula unit. As for the volume: 55.783 A^3/atom.

```
data_CsZrTeI2
_symmetry_space_group_name_H-M 'P 1'
_symmetry_Int_Tables_number 1
_symmetry_space_group_name_Hall 'P 1'
_cell_length_a 6.714
_cell_length_b 6.714
_cell_length_c 6.188
_cell_angle_alpha 90.00
_cell_angle_beta 90.00
_cell_angle_gamma 90.00
loop_
_atom_site_label
_atom_site_type_symbol
_atom_site_fract_x
_atom_site_fract_y
_atom_site_fract_z
Cs1 Cs 0.000 0.000 0.000
Zr1 Zr 0.500 0.500 0.500
Te1 Te 0.000 0.000 0.500
I1 I 0.000 0.500 0.000
I2 I 0.500 0.000 0.000
```

---

5.
Compound: Pu5GeAu2
Source: Alexandria
Functional: PBE
Structure: optimized geometry

## Properties
Its total energy is -10.58 eV/atom. As for the energy of formation: -226 meV/atom. As for the volume: 22.885 A^3/atom.

```
data_Pu5GeAu2
_symmetry_space_group_name_H-M 'P 1'
_symmetry_Int_Tables_number 1
_symmetry_space_group_name_Hall 'P 1'
_cell_length_a 6.142
_cell_length_b 6.280
_cell_length_c 6.280
_cell_angle_alpha 105.68
_cell_angle_beta 119.23
_cell_angle_gamma 103.59
loop_
_atom_site_label
_atom_site_type_symbol
_atom_site_fract_x
_atom_site_fract_y
_atom_site_fract_z
Pu1 Pu 0.000 0.000 0.000
Pu2 Pu 0.000 0.000 0.500
Pu3 Pu 0.000 0.500 0.000
Pu4 Pu 0.500 0.000 0.000
Pu5 Pu 0.500 0.500 0.500
Ge1 Ge 0.500 0.000 0.500
Au1 Au 0.000 0.500 0.500
Au2 Au 0.500 0.500 0.000
```

---

6.
Compound: Y2Cr
Source: Alexandria
Functional: PBE
Structure: optimized geometry

## Properties
Its total energy is -7.11 eV/atom. As for the energy of formation: 409 meV/atom. As for the volume: 26.333 A^3/atom.

```
data_Y2Cr
_symmetry_space_group_name_H-M 'P 1'
_symmetry_Int_Tables_number 1
_symmetry_space_group_name_Hall 'P 1'
_cell_length_a 5.135
_cell_length_b 5.135
_cell_length_c 3.459
_cell_angle_alpha 90.00
_cell_angle_beta 90.00
_cell_angle_gamma 120.00
loop_
_atom_site_label
_atom_site_type_symbol
_atom_site_fract_x
_atom_site_fract_y
_atom_site_fract_z
Y1 Y 0.333 0.667 0.286
Y2 Y 0.667 0.333 0.714
Cr1 Cr 0.000 0.000 0.000
```

---

7.
Compound: NdDyYZn
Source: Alexandria
Functional: PBE
Structure: optimized geometry

## Properties
Its total energy is -4.23 eV/atom. As for the energy of formation: 46 meV/atom. The energy above the lowest structure with this stoichiometry comes out at 213 meV per atom. As for the volume: 27.865 A^3/atom.

```
data_NdDyYZn
_symmetry_space_group_name_H-M 'P 1'
_symmetry_Int_Tables_number 1
_symmetry_space_group_name_Hall 'P 1'
_cell_length_a 5.402
_cell_length_b 5.402
_cell_length_c 5.402
_cell_angle_alpha 60.00
_cell_angle_beta 60.00
_cell_angle_gamma 60.00
loop_
_atom_site_label
_atom_site_type_symbol
_atom_site_fract_x
_atom_site_fract_y
_atom_site_fract_z
Nd1 Nd 0.000 0.000 0.000
Dy1 Dy 0.250 0.250 0.250
Y1 Y 0.500 0.500 0.500
Zn1 Zn 0.750 0.750 0.750
```

---

8.
Compound: CaCuTc2
Source: Alexandria
Functional: PBE
Structure: optimized geometry

## Properties
Its total energy is -6.11 eV/atom. As for the energy of formation: 599 meV/atom. The energy above the lowest structure with this stoichiometry comes out at 397 meV per atom. As for the volume: 17.472 A^3/atom.

```
data_CaCuTc2
_symmetry_space_group_name_H-M 'P 1'
_symmetry_Int_Tables_number 1
_symmetry_space_group_name_Hall 'P 1'
_cell_length_a 2.593
_cell_length_b 4.297
_cell_length_c 6.273
_cell_angle_alpha 90.00
_cell_angle_beta 90.00
_cell_angle_gamma 90.00
loop_
_atom_site_label
_atom_site_type_symbol
_atom_site_fract_x
_atom_site_fract_y
_atom_site_fract_z
Ca1 Ca 0.000 0.000 0.000
Cu1 Cu 0.000 0.000 0.500
Tc1 Tc 0.500 0.500 0.311
Tc2 Tc 0.500 0.500 0.689
```

---

9.
Compound: Sr2LaHg2
Source: Alexandria
Functional: PBE
Structure: optimized geometry

## Properties
Its total energy is -2.15 eV/atom. As for the energy of formation: -370 meV/atom. The energy above the lowest structure with this stoichiometry comes out at 24 meV per atom. As for the volume: 35.091 A^3/atom.

```
data_Sr2LaHg2
_symmetry_space_group_name_H-M 'P 1'
_symmetry_Int_Tables_number 1
_symmetry_space_group_name_Hall 'P 1'
_cell_length_a 8.859
_cell_length_b 8.859
_cell_length_c 4.471
_cell_angle_alpha 90.00
_cell_angle_beta 90.00
_cell_angle_gamma 90.00
loop_
_atom_site_label
_atom_site_type_symbol
_atom_site_fract_x
_atom_site_fract_y
_atom_site_fract_z
Sr1 Sr 0.158 0.342 0.000
Sr2 Sr 0.342 0.842 0.000
Sr3 Sr 0.658 0.158 0.000
Sr4 Sr 0.842 0.658 0.000
La1 La 0.000 0.000 0.500
La2 La 0.500 0.500 0.500
Hg1 Hg 0.142 0.642 0.500
Hg2 Hg 0.358 0.142 0.500
Hg3 Hg 0.642 0.858 0.500
Hg4 Hg 0.858 0.358 0.500
```

---

10.
Compound: PmPa3Sb4
Source: Alexandria
Functional: PBE
Structure: optimized geometry

## Properties
Its total energy is -6.83 eV/atom. As for the uncorrected formation energy: -4.9 eV per formula unit. As for the volume: 30.031 A^3/atom.

```
data_PmPa3Sb4
_symmetry_space_group_name_H-M 'P 1'
_symmetry_Int_Tables_number 1
_symmetry_space_group_name_Hall 'P 1'
_cell_length_a 7.621
_cell_length_b 7.621
_cell_length_c 4.384
_cell_angle_alpha 90.00
_cell_angle_beta 90.00
_cell_angle_gamma 109.34
loop_
_atom_site_label
_atom_site_type_symbol
_atom_site_fract_x
_atom_site_fract_y
_atom_site_fract_z
Pm1 Pm 0.000 0.000 0.000
Pa1 Pa 0.000 0.500 0.500
Pa2 Pa 0.500 0.000 0.500
Pa3 Pa 0.500 0.500 0.000
Sb1 Sb 0.251 0.749 0.000
Sb2 Sb 0.254 0.254 0.500
Sb3 Sb 0.746 0.746 0.500
Sb4 Sb 0.749 0.251 0.000
```

---

11.
Compound: CePmAsS
Source: Alexandria
Functional: PBE
Structure: optimized geometry

## Properties
Its total energy is -6.64 eV/atom. As for the uncorrected formation energy: -7.1 eV per formula unit. As for the volume: 25.023 A^3/atom.

```
data_CePmAsS
_symmetry_space_group_name_H-M 'P 1'
_symmetry_Int_Tables_number 1
_symmetry_space_group_name_Hall 'P 1'
_cell_length_a 7.151
_cell_length_b 7.151
_cell_length_c 7.151
_cell_angle_alpha 33.66
_cell_angle_beta 33.66
_cell_angle_gamma 33.66
loop_
_atom_site_label
_atom_site_type_symbol
_atom_site_fract_x
_atom_site_fract_y
_atom_site_fract_z
Ce1 Ce 0.000 0.000 0.000
Pm1 Pm 0.504 0.504 0.504
As1 As 0.751 0.751 0.751
S1 S 0.252 0.252 0.252
```

---

12.
Compound: HRh2W
Source: Alexandria
Functional: PBE
Structure: optimized geometry

## Properties
Its total energy is -7.61 eV/atom. The energy above the lowest structure with this stoichiometry comes out at 206 meV per atom. As for the volume: 12.091 A^3/atom.

```
data_HRh2W
_symmetry_space_group_name_H-M 'P 1'
_symmetry_Int_Tables_number 1
_symmetry_space_group_name_Hall 'P 1'
_cell_length_a 5.049
_cell_length_b 5.049
_cell_length_c 5.049
_cell_angle_alpha 104.64
_cell_angle_beta 104.64
_cell_angle_gamma 119.65
loop_
_atom_site_label
_atom_site_type_symbol
_atom_site_fract_x
_atom_site_fract_y
_atom_site_fract_z
H1 H 0.000 0.000 0.000
H2 H 0.750 0.250 0.500
Rh1 Rh 0.026 0.625 0.901
Rh2 Rh 0.375 0.276 0.401
Rh3 Rh 0.724 0.125 0.099
Rh4 Rh 0.875 0.974 0.599
W1 W 0.250 0.750 0.500
W2 W 0.500 0.500 0.000
```